No. 1
Below is crystalline Na2YPb at its relaxed geometry, with properties calculated at the PBE level.

Final energy ... -3.054 eV per atom
SG ... No. 166

Lattice parameters (Å, degrees): 12.648 12.648 12.648 15.70 15.70 15.70
Positions (direct):
Na 0.091 0.091 0.091
Na 0.909 0.909 0.909
Y 0.000 0.000 0.000
Pb 0.500 0.500 0.500

No. 2
Below is crystalline TbHoGeTe at its relaxed geometry, with properties calculated at the PBE level.

Formation energy from raw total energies ... -432 kJ/mol of formula units
SG ... No. 160

Lattice parameters (Å, degrees): 7.652 7.652 7.652 32.02 32.02 32.02
Positions (direct):
Tb 0.000 0.000 0.000
Ho 0.810 0.810 0.810
Ge 0.407 0.407 0.407
Te 0.236 0.236 0.236